Density functional theory data (PBE) for a geometry-optimized K2Cd4Ir structure.

Cell: 5.3140 5.3140 9.5574 Å, 73.86 73.86 90.00°
Closest atoms and distances in Å follow each position.
Fractional coordinates of all 7 atoms:
Cd1 0.5000 0.0000 0.0000  2 Ir 2.66
K1 0.3554 0.3554 0.2892  9 Cd 3.60-3.76
K2 0.6446 0.6446 0.7108  9 Cd 3.60-3.76
Cd2 0.1503 0.1503 0.6994  1 Ir 2.64
Cd3 0.0000 0.5000 0.0000  2 Ir 2.66
Ir1 0.0000 0.0000 0.0000  6 Cd 2.64-2.66
Cd4 0.8497 0.8497 0.3006  1 Ir 2.64

Calculated values
The calculation puts the calculated volume at 35.45 Å³/atom. The formation energy is 0.015 eV per atom. The calculation puts the total DFT energy (no corrections) at -2.0869 eV per atom.

Density functional theory data (PBE) for a geometry-optimized Ce2In2O7 structure.

Cell: 7.5566 7.5566 7.5566 Å, 60.00 60.00 60.00°
Closest atoms and distances in Å follow each position.
Fractional coordinates of all 22 atoms:
O1 0.5000 0.5000 0.5000  4 Ce 2.31
O2 0.4812 0.4812 0.0188  2 In 2.20, 2 Ce 2.44
In1 0.1250 0.1250 0.6250  6 O 2.20
O3 0.7500 0.7500 0.7500  4 Ce 2.31
O4 0.2312 0.2312 0.7688  2 In 2.20, 2 Ce 2.44
Ce1 0.6250 0.6250 0.1250  8 O 2.31-2.44
O5 0.0188 0.0188 0.4812  2 In 2.20, 2 Ce 2.44
In2 0.1250 0.6250 0.1250  6 O 2.20
In3 0.6250 0.1250 0.1250  6 O 2.20
O6 0.4812 0.0188 0.4812  2 In 2.20, 2 Ce 2.44
O7 0.2312 0.7688 0.2312  2 In 2.20, 2 Ce 2.44
Ce2 0.6250 0.1250 0.6250  8 O 2.31-2.44
Ce3 0.1250 0.6250 0.6250  8 O 2.31-2.44
O8 0.2312 0.7688 0.7688  2 In 2.20, 2 Ce 2.44
O9 0.4812 0.0188 0.0188  2 In 2.20, 2 Ce 2.44
Ce4 0.6250 0.6250 0.6250  8 O 2.31-2.44
In4 0.1250 0.1250 0.1250  6 O 2.20
O10 0.7688 0.2312 0.2312  2 In 2.20, 2 Ce 2.44
O11 0.7688 0.2312 0.7688  2 In 2.20, 2 Ce 2.44
O12 0.7688 0.7688 0.2312  2 In 2.20, 2 Ce 2.44
O13 0.0188 0.4812 0.0188  2 In 2.20, 2 Ce 2.44
O14 0.0188 0.4812 0.4812  2 In 2.20, 2 Ce 2.44

Calculated values
The calculation puts the calculated volume at 13.87 Å³/atom. The calculation puts the total DFT energy (no corrections) at -7.1905 eV per atom. For the raw formation energy, the calculation gives -2458.5 meV/atom.

Density functional theory data (PBE) for a geometry-optimized NbPbN2O structure.

Cell: 4.2465 4.2465 4.1753 Å, 90.00 90.00 90.00°
Closest atoms and distances in Å follow each position.
Fractional coordinates of all 5 atoms:
N1 0.0000 0.5000 0.0000  2 Pb 2.12
Nb1 0.5000 0.5000 0.5000  8 N 2.98, 4 O 3.00
Pb1 0.0000 0.0000 0.0000  2 O 2.09, 4 N 2.12
N2 0.5000 0.0000 0.0000  2 Pb 2.12
O1 0.0000 0.0000 0.5000  2 Pb 2.09

Calculated values
The calculation puts the calculated volume at 15.06 Å³/atom. The calculation puts the total DFT energy (no corrections) at -5.7473 eV per atom. For the raw formation energy, the calculation gives 1330.1 meV/atom.

Density functional theory data (PBE) for a geometry-optimized NdYTmSc structure.

Cell: 3.8257 5.6036 6.6547 Å, 114.90 73.27 90.00°
Closest atoms and distances in Å follow each position.
Fractional coordinates of all 4 atoms:
Y1 0.4276 0.1348 0.2697  4 Sc 3.39-3.40, 2 Tm 3.57, 4 Nd 3.71-3.78
Nd1 0.6502 0.4125 0.8251  2 Sc 3.28, 4 Tm 3.42
Sc1 0.9171 0.6455 0.2910  2 Tm 3.22, 2 Nd 3.28, 4 Y 3.39-3.40
Tm1 0.1910 0.8718 0.7436  2 Sc 3.22, 4 Nd 3.42, 2 Y 3.57

Calculated values
The calculation puts the calculated volume at 30.68 Å³/atom. The formation energy is 0.102 eV per atom. The calculation puts the total DFT energy (no corrections) at -5.4069 eV per atom.